[1]
A relaxed structure of Ce3Nd4ZrN8. Source: Alexandria via LeMat-Bulk, functional GGA-PBE.

a b c (Å): 7.1327 7.1327 7.1327
angles (deg): 59.81 59.81 59.81
With the nearest neighbours (Å) after each atom.
Atoms (fractional coordinates):
Ce  0.0000  0.5000  0.5000  6 N 2.46-2.47
Ce  0.5000  0.0000  0.5000  6 N 2.46-2.47
Ce  0.5000  0.5000  0.0000  6 N 2.46-2.47
Nd  0.0000  0.0000  0.5000  6 N 2.57
Nd  0.0000  0.5000  0.0000  6 N 2.57
Nd  0.5000  0.0000  0.0000  6 N 2.57
Nd  0.5000  0.5000  0.5000  6 N 2.67
Zr  0.0000  0.0000  0.0000  6 N 2.37
N  0.2355  0.2355  0.7543  1 Zr 2.37, 2 Ce 2.47, 2 Nd 2.57
N  0.2355  0.7543  0.2355  1 Zr 2.37, 2 Ce 2.47, 2 Nd 2.57
N  0.2457  0.7645  0.7645  1 Zr 2.37, 2 Ce 2.47, 2 Nd 2.57
N  0.2554  0.2554  0.2554  3 Ce 2.46, 3 Nd 2.57
N  0.7446  0.7446  0.7446  3 Ce 2.46, 3 Nd 2.57
N  0.7543  0.2355  0.2355  1 Zr 2.37, 2 Ce 2.47, 2 Nd 2.57
N  0.7645  0.2457  0.7645  1 Zr 2.37, 2 Ce 2.47, 2 Nd 2.57
N  0.7645  0.7645  0.2457  1 Zr 2.37, 2 Ce 2.47, 2 Nd 2.57

Summary:
Energy relative to the elements, uncorrected in kJ per mole of atoms: -142.2
Total moment in Bohr magnetons per cell: 0.000
Crystal system: trigonal

[2]
A relaxed structure of CeNd2ZrN4. Source: Alexandria via LeMat-Bulk, functional GGA-PBE.

a b c (Å): 6.0821 3.5034 6.1211
angles (deg): 90.00 108.98 90.00
With the nearest neighbours (Å) after each atom.
Atoms (fractional coordinates):
Ce  0.0000  0.0000  0.0000  6 N 2.44-2.45
Nd  0.0000  0.5000  0.5000  6 N 2.62-2.64
Nd  0.5000  0.0000  0.5000  6 N 2.54
Zr  0.5000  0.5000  0.0000  6 N 2.33-2.37
N  0.2565  0.5000  0.2248  1 Zr 2.33, 2 Ce 2.45, 2 Nd 2.54
N  0.2698  0.0000  0.7797  2 Zr 2.37, 1 Ce 2.44, 3 Nd 2.54-2.62
N  0.7302  0.0000  0.2203  2 Zr 2.37, 1 Ce 2.44, 3 Nd 2.54-2.62
N  0.7435  0.5000  0.7752  1 Zr 2.33, 2 Ce 2.45, 2 Nd 2.54

Summary:
Energy relative to the elements, uncorrected in kJ per mole of atoms: -143.9
Total moment in Bohr magnetons per cell: 0.000
Crystal system: monoclinic

What is the energy relative to the elements, uncorrected in the first record? -142.2 kJ per mole of atoms

What is the total moment in the first record? 0.000 Bohr magnetons per cell

Which value of energy relative to the elements, uncorrected does entry 2 give? -143.9 kJ per mole of atoms

Number 1 is which compound? Ce3Nd4ZrN8